KGa3P: relaxed, GGA-PBEsol.

abc: 5.4069 5.4069 5.4069
angles: 90.00 90.00 90.00
Last column: nearest neighbours and their distance in Å.
Positions (direct):
Ga 0.5000 0.0000 0.0000  2 K 2.70
Ga 0.0000 0.5000 0.0000  2 K 2.70
Ga 0.0000 0.0000 0.5000  2 K 2.70
K 0.0000 0.0000 0.0000  6 Ga 2.70
P 0.5000 0.5000 0.5000  12 Ga 3.82

## Properties
Total energy (Ha/atom): -0.071



Na2CaPbBr: relaxed, GGA-PBEsol.

abc: 5.2598 5.2598 6.3681
angles: 90.00 90.00 90.00
Last column: nearest neighbours and their distance in Å.
Positions (direct):
Ca 0.5000 0.5000 0.5000  4 Pb 3.72, 8 Na 4.13
Na 0.5000 0.0000 0.0000  2 Br 2.63
Na 0.0000 0.5000 0.0000  2 Br 2.63
Pb 0.0000 0.0000 0.5000  2 Br 3.18
Br 0.0000 0.0000 0.0000  4 Na 2.63

## Properties
ΔE_f (raw) (eV per atom): -0.312
Total energy (Ha/atom): -0.091